VASP calculation (PBE) on a relaxed AlSbSe3 crystal.

- Volume: 30.272 Å³/atom
- E_form (uncorrected): 400 meV/atom
- Crystal system: cubic
- Energy above the lowest structure with this stoichiometry: 4.77 eV per formula unit
- SG: Pm-3m (221)

Cell lengths 5.3293, 5.3293, 5.3293 Å; angles 90.00, 90.00, 90.00 degrees
Element x y z (fractional)
Al: 0.0000 0.0000 0.0000
Sb: 0.5000 0.5000 0.5000
Se: 0.0000 0.5000 0.5000
Se: 0.5000 0.0000 0.5000
Se: 0.5000 0.5000 0.0000



VASP calculation (PBE) on a relaxed Er4InHg2 crystal.

- Volume: 27.550 Å³/atom
- Crystal system: trigonal
- Energy above the lowest structure with this stoichiometry: 0.00 eV per formula unit
- SG: R-3m (166)
- Energy of formation from the pure elements: -0.2945 eV/atom

Cell lengths 8.8731, 8.8731, 8.8731 Å; angles 33.82, 33.82, 33.82 degrees
Element x y z (fractional)
Er: 0.1175 0.1175 0.1175
Er: 0.3708 0.3708 0.3708
Er: 0.6292 0.6292 0.6292
Er: 0.8825 0.8825 0.8825
In: 0.5000 0.5000 0.5000
Hg: 0.2492 0.2492 0.2492
Hg: 0.7508 0.7508 0.7508



VASP calculation (PBE) on a relaxed SrLa2Sc crystal.

- Volume: 36.874 Å³/atom
- Crystal system: orthorhombic
- Energy above the lowest structure with this stoichiometry: 0.35 eV per formula unit
- SG: Immm (71)
- Energy of formation from the pure elements: 0.1854 eV/atom

Cell lengths 7.2009, 7.2009, 7.2009 Å; angles 148.78, 129.77, 60.34 degrees
Element x y z (fractional)
Sr: 0.0000 0.0000 0.0000
La: 0.2815 0.7815 0.5000
La: 0.7185 0.2185 0.5000
Sc: 0.5000 0.5000 0.0000



Question: Look up the volume of the third one.
Answer: 36.874 Å³/atom